Record 1
Computed, not measured: a relaxed Mg6TlAg crystal at the PBE-GGA level of DFT.

Unit cell a=6.3001 b=6.3001 c=4.9910 alpha=90.00 beta=90.00 gamma=120.00
Space group P-6m2 (No. 187)
Symmetry-distinct sites (fractional):
Mg 0.0035 0.5018 0.0000 (multiplicity 3)
Mg 0.1619 0.3237 0.5000 (multiplicity 3)
Tl 0.6667 0.3333 0.5000 (multiplicity 1)
Ag 0.0000 0.0000 0.0000 (multiplicity 1)

Values from the calculation:
**Raw total energy**: -15.0 eV/f.u.


Record 2
Computed, not measured: a relaxed Al5Ni crystal at the PBE-GGA level of DFT.

Unit cell a=5.1849 b=5.1849 c=17.3318 alpha=90.00 beta=90.00 gamma=120.00
Space group P6_3/mmc (No. 194)
Symmetry-distinct sites (fractional):
Al 0.0000 0.0000 0.0915 (multiplicity 4)
Al 0.0000 0.5000 0.0000 (multiplicity 6)
Al 0.1633 0.3266 0.2500 (multiplicity 6)
Al 0.3333 0.6667 0.1262 (multiplicity 4)
Ni 0.3333 0.6667 0.6133 (multiplicity 4)

Values from the calculation:
**Raw total energy**: -23.3 eV/f.u.


Record 3
Computed, not measured: a relaxed HoNpFe crystal at the PBE-GGA level of DFT.

Unit cell a=6.3082 b=6.3082 c=6.3082 alpha=90.00 beta=90.00 gamma=90.00
Space group F-43m (No. 216)
Symmetry-distinct sites (fractional):
Ho 0.0000 0.0000 0.0000 (multiplicity 4)
Np 0.0000 0.0000 0.5000 (multiplicity 4)
Fe 0.2500 0.2500 0.2500 (multiplicity 4)

Values from the calculation:
**Relative energy among the computed polymorphs**: 0 meV/atom
**Energy of formation**: 450.1 meV per atom
**Raw total energy**: -24.3 eV/f.u.


Record 4
Computed, not measured: a relaxed NbInCoPd crystal at the PBE-GGA level of DFT.

Unit cell a=6.3586 b=6.3586 c=6.3586 alpha=90.00 beta=90.00 gamma=90.00
Space group F-43m (No. 216)
Symmetry-distinct sites (fractional):
Nb 0.0000 0.0000 0.0000 (multiplicity 4)
In 0.0000 0.0000 0.5000 (multiplicity 4)
Co 0.2500 0.2500 0.7500 (multiplicity 4)
Pd 0.2500 0.2500 0.2500 (multiplicity 4)

Values from the calculation:
**Relative energy among the computed polymorphs**: 0 meV/atom
**Raw total energy**: -25.6 eV/f.u.